[1]
Here is crystalline Ho2GaRh at its relaxed geometry from Alexandria. Energies are from PBE-GGA.

**E_form**: -3.0 eV per formula unit
**Calculated total energy**: -22.539 eV per cell

Cell: 3.5070 3.5070 6.9224 Å, 90.00 90.00 90.00°
Last column: nearest neighbours and their distance in Å.
Space group P4/mmm (No. 123)
One atom of each set of equivalent atoms:
Ho 0.0000 0.0000 0.2351 x2  4 Rh 2.97, 4 Ga 3.08, 1 Ho 3.26
Ga 0.5000 0.5000 0.5000 x1  8 Ho 3.08
Rh 0.5000 0.5000 0.0000 x1  8 Ho 2.97



[2]
Here is crystalline AsOsCl2 at its relaxed geometry from Alexandria. Energies are from PBE-GGA.

**Energy above the lowest structure with this stoichiometry**: 493 meV/atom
**ΔE_f (raw)**: 0.4186 eV/atom
**Calculated total energy**: -35.796 eV per cell

Cell: 3.1943 5.8961 9.2797 Å, 90.00 90.00 90.00°
Last column: nearest neighbours and their distance in Å.
Space group Cmm2 (No. 35)
One atom of each set of equivalent atoms:
As 0.0000 0.0000 0.0000 x2  2 Os 2.37, 2 Cl 2.62
Os 0.0000 0.5000 0.8118 x2  2 As 2.37, 2 Cl 2.48
Cl 0.0000 0.0000 0.6069 x2  2 Os 2.48
Cl 0.0000 0.5000 0.2236 x2  2 As 2.62



[3]
Here is crystalline Dy7Tm12In at its relaxed geometry from Alexandria. Energies are from PBE-GGA.

**E_form**: 3.5 eV per formula unit
**Calculated total energy**: -255.478 eV per cell

Cell: 11.8147 11.8147 15.4765 Å, 90.00 90.00 120.00°
Last column: nearest neighbours and their distance in Å.
Space group R-3 (No. 148, hexagonal axes)
One atom of each set of equivalent atoms:
Dy 0.0000 0.0000 0.0000 x3  6 Tm 3.18
Dy 0.0568 0.1880 0.2968 x18  3 Dy 3.30-3.42, 6 Tm 3.45-3.67
Tm 0.0347 0.4570 0.2138 x18  1 In 3.22, 5 Tm 3.24-3.46, 2 Dy 3.50-3.56
Tm 0.0549 0.5843 0.5856 x18  4 Tm 3.18-3.40, 2 Dy 3.18-3.45
In 0.0000 0.0000 0.5000 x3  6 Tm 3.22



[4]
Here is crystalline RbMg at its relaxed geometry from Alexandria. Energies are from PBE-GGA.

**E_form**: 0.7 eV per formula unit
**Calculated total energy**: -7.514 eV per cell

Cell: 7.3918 7.3918 7.3918 Å, 90.00 90.00 90.00°
Last column: nearest neighbours and their distance in Å.
Space group P2_13 (No. 198)
One atom of each set of equivalent atoms:
Rb 0.0924 0.4076 0.5924 x4  7 Mg 3.90-4.03
Mg 0.1017 0.8983 0.3983 x4  7 Rb 3.90-4.03



[5]
Here is crystalline In12Ge3Bi5 at its relaxed geometry from Alexandria. Energies are from PBE-GGA.

**E_form**: 3.4 eV per formula unit
**Calculated total energy**: -501.952 eV per cell

Cell: 17.5229 17.5229 17.5229 Å, 90.00 90.00 90.00°
Last column: nearest neighbours and their distance in Å.
Space group Ia-3d (No. 230)
One atom of each set of equivalent atoms:
In 0.0139 0.0858 0.6539 x96  1 Ge 2.93, 2 Bi 2.98-3.10, 1 In 3.05
Ge 0.0000 0.2500 0.1250 x24  4 In 2.93
Bi 0.0000 0.0000 0.0000 x16  6 In 3.10
Bi 0.0000 0.2500 0.3750 x24  4 In 2.98



[6]
Here is crystalline BiSe2BrN at its relaxed geometry from Alexandria. Energies are from PBE-GGA.

**Energy above the lowest structure with this stoichiometry**: 0 meV/atom
**ΔE_f (raw)**: 0.7085 eV/atom
**Calculated total energy**: -17.306 eV per cell

Cell: 4.7425 4.7425 4.4812 Å, 90.00 90.00 90.00°
Last column: nearest neighbours and their distance in Å.
Space group P4/mmm (No. 123)
One atom of each set of equivalent atoms:
Bi 0.0000 0.0000 0.0000 x1  8 Se 3.26, 4 Br 3.35
Se 0.0000 0.5000 0.5000 x2  2 N 2.37
Br 0.5000 0.5000 0.0000 x1  2 N 2.24
N 0.5000 0.5000 0.5000 x1  2 Br 2.24, 4 Se 2.37



[7]
Here is crystalline Zr6C3SN2 at its relaxed geometry from Alexandria. Energies are from PBE-GGA.

**ΔE_f (raw)**: -1.1960 eV/atom
**Calculated total energy**: -228.181 eV per cell

Cell: 14.7954 3.3600 6.8342 Å, 90.00 103.87 90.00°
Last column: nearest neighbours and their distance in Å.
Space group C2/m (No. 12)
One atom of each set of equivalent atoms:
Zr 0.0013 0.0000 0.2202 x4  3 C 2.25-2.38, 1 N 2.46
Zr 0.1673 0.5000 0.0839 x4  3 N 2.35-2.40, 3 C 2.39-2.40
Zr 0.1775 0.5000 0.5883 x4  3 C 2.25-2.40, 2 N 2.40
C 0.0000 0.5000 0.0000 x2  6 Zr 2.25-2.40
C 0.1662 0.0000 0.3319 x4  6 Zr 2.25-2.40
S 0.0000 0.5000 0.5000 x2  6 Zr 2.55
N 0.1693 0.0000 0.8352 x4  6 Zr 2.35-2.46



[8]
Here is crystalline Pr3NdPd3 at its relaxed geometry from Alexandria. Energies are from PBE-GGA.

**E_form**: -4.1 eV per formula unit
**Calculated total energy**: -154.970 eV per cell

Cell: 9.6456 10.8183 7.3173 Å, 90.00 91.19 90.00°
Last column: nearest neighbours and their distance in Å.
Space group C2/m (No. 12)
One atom of each set of equivalent atoms:
Pr 0.0000 0.1771 0.0000 x4  6 Pd 2.93-3.10
Pr 0.0000 0.2513 0.5000 x4  6 Pd 3.12-3.19
Pr 0.1563 0.5000 0.8741 x4  3 Pd 3.01-3.05
Nd 0.2417 0.5000 0.3761 x4  4 Pd 2.89-3.15
Pd 0.0631 0.0000 0.3107 x4  2 Nd 2.94-3.15, 5 Pr 3.03-3.12, 1 Pd 3.05
Pd 0.2412 0.2543 0.2216 x8  1 Nd 2.89, 5 Pr 2.93-3.19